Density functional theory data (SCAN) for Tl2In at its PBEsol-relaxed geometry.

It has space group C2/m (No. 12), with a = 30.4837 Å, b = 3.2668 Å, c = 3.3101 Å, α = 90.00°, β = 90.91° and γ = 90.00°. The asymmetric unit holds Tl at (0.0474, 0.0000, 0.2464), Tl at (0.2068, 0.0000, 0.2510) and In at (0.1267, 0.5000, 0.7491).

The energy of formation from the pure elements comes out at 42 meV per atom. The value obtained for the density of states at the Fermi level is 4.74 states/eV/cell. Its calculated total energy is -711.908 eV for the cell shown. For the magnetization, the calculation gives 0.00 μB/f.u.

---

Density functional theory data (SCAN) for TlIn2 at its PBEsol-relaxed geometry.

It has space group C2/m (No. 12), with a = 12.1084 Å, b = 3.3876 Å, c = 8.0567 Å, α = 90.00°, β = 105.88° and γ = 90.00°. The asymmetric unit holds Tl at (0.1784, 0.0000, 0.1285), In at (0.0341, 0.5000, 0.7824) and In at (0.1439, 0.0000, 0.5279).

The energy of formation from the pure elements comes out at 59 meV per atom. The value obtained for the density of states at the Fermi level is 5.01 states/eV/cell. Its calculated total energy is -555.816 eV for the cell shown. The offset from the most stable computed form comes out at 0.0153 eV/atom. For the magnetization, the calculation gives 0.00 μB/f.u.

---

Density functional theory data (SCAN) for TlIn at its PBEsol-relaxed geometry.

It has space group Cm (No. 8), with a = 12.4328 Å, b = 3.3830 Å, c = 7.9178 Å, α = 90.00°, β = 104.09° and γ = 90.00°. The asymmetric unit holds Tl at (0.0000, 0.0000, 0.0000), Tl at (0.0467, 0.0000, 0.6111), Tl at (0.3782, 0.0000, 0.2747), In at (0.1588, 0.5000, 0.3346), In at (0.2220, 0.5000, 0.9413) and In at (0.3219, 0.0000, 0.6630).

The energy of formation from the pure elements comes out at 57 meV per atom. The value obtained for the density of states at the Fermi level is 4.86 states/eV/cell. Its calculated total energy is -633.790 eV for the cell shown. For the magnetization, the calculation gives 0.00 μB/f.u.

---

Density functional theory data (SCAN) for TlIn at its PBEsol-relaxed geometry.

It has space group Pmmn (No. 59, origin choice 2), with a = 3.4147 Å, b = 5.3706 Å, c = 5.8684 Å, α = 90.00°, β = 90.00° and γ = 90.00°. The asymmetric unit holds Tl at (0.2500, 0.2500, 0.0830) and In at (0.2500, 0.7500, 0.4238).

The energy of formation from the pure elements comes out at 57 meV per atom. The value obtained for the density of states at the Fermi level is 1.51 states/eV/cell. Its calculated total energy is -211.262 eV for the cell shown. For the magnetization, the calculation gives 0.00 μB/f.u.